1.
A plane-wave DFT calculation with PBE was carried out for crystalline Cd2HgPt at its relaxed geometry.

a b c (Å): 5.2761 5.2761 5.2761
angles (deg): 132.87 132.71 68.99
With the nearest neighbours (Å) after each atom.
Element x y z (fractional)
Cd  0.2498  0.2498  0.0000  4 Cd 2.99, 4 Pt 3.03-3.04, 4 Hg 3.03
Cd  0.7502  0.7502  0.0000  4 Cd 2.99, 4 Pt 3.03-3.04, 4 Hg 3.03
Hg  0.5000  0.0000  0.5000  4 Pt 2.99, 8 Cd 3.03
Pt  0.0000  0.5000  0.5000  4 Hg 2.99, 8 Cd 3.03-3.04

N(E_F)   1.0 states/eV per cell
Formation enthalpy at 0 K   -0.093 eV per atom
Space-group type   Immm (71)
Spin magnetization   0.00 μB per cell

2.
A plane-wave DFT calculation with PBE was carried out for crystalline LaPm4Y2Tm2 at its relaxed geometry.

a b c (Å): 8.0697 8.0697 8.0646
angles (deg): 107.21 107.21 36.80
With the nearest neighbours (Å) after each atom.
Element x y z (fractional)
La  0.0000  0.0000  0.0000  6 Pm 3.60-3.61, 2 Y 3.61, 4 Tm 3.63
Pm  0.2226  0.2226  0.3306  3 Tm 3.54-3.60, 3 Y 3.59-3.62, 5 Pm 3.61-3.64, 1 La 3.61
Pm  0.4445  0.4445  0.6677  2 La 3.60, 4 Y 3.61, 4 Pm 3.61-3.63, 2 Tm 3.63-3.64
Pm  0.5555  0.5555  0.3323  2 La 3.60, 4 Y 3.61, 4 Pm 3.61-3.63, 2 Tm 3.63-3.64
Pm  0.7774  0.7774  0.6694  3 Tm 3.54-3.60, 3 Y 3.59-3.62, 5 Pm 3.61-3.64, 1 La 3.61
Y  0.1118  0.1118  0.6663  7 Pm 3.59-3.62, 3 Tm 3.59-3.60, 1 La 3.61, 1 Y 3.63
Y  0.8882  0.8882  0.3337  7 Pm 3.59-3.62, 3 Tm 3.59-3.60, 1 La 3.61, 1 Y 3.63
Tm  0.3309  0.3309  0.0011  5 Pm 3.54-3.64, 2 Tm 3.55, 3 Y 3.59-3.60, 2 La 3.63
Tm  0.6691  0.6691  0.9989  5 Pm 3.54-3.64, 2 Tm 3.55, 3 Y 3.59-3.60, 2 La 3.63

N(E_F)   13.5 states/eV per cell
Formation enthalpy at 0 K   0.023 eV per atom
Space-group type   C2/m (12)
Spin magnetization   0.00 μB per cell

3.
A plane-wave DFT calculation with PBE was carried out for crystalline LaTcAg2 at its relaxed geometry.

a b c (Å): 4.1711 4.1711 4.6906
angles (deg): 90.00 90.00 90.00
With the nearest neighbours (Å) after each atom.
Element x y z (fractional)
La  0.0000  0.0000  0.0000  4 Tc 2.95, 8 Ag 3.14
Tc  0.5000  0.5000  0.0000  4 La 2.95, 8 Ag 3.14
Ag  0.0000  0.5000  0.5000  4 Ag 2.95, 4 Tc 3.14, 4 La 3.14
Ag  0.5000  0.0000  0.5000  4 Ag 2.95, 4 Tc 3.14, 4 La 3.14

N(E_F)   3.8 states/eV per cell
Formation enthalpy at 0 K   0.243 eV per atom
Energy above the lowest structure with this stoichiometry   30 meV per atom
Space-group type   P4/mmm (123)
Spin magnetization   1.17 μB per cell

4.
A plane-wave DFT calculation with PBE was carried out for crystalline BeTlGaO4 at its relaxed geometry.

a b c (Å): 5.3150 5.3150 6.1507
angles (deg): 90.00 90.00 111.32
With the nearest neighbours (Å) after each atom.
Element x y z (fractional)
Be  0.1493  0.8507  0.7500  4 O 1.64-1.73
Be  0.8507  0.1493  0.2500  4 O 1.64-1.73
Tl  0.5000  0.5000  0.0000  6 O 2.25-2.31
Tl  0.5000  0.5000  0.5000  6 O 2.25-2.31
Ga  0.1485  0.8515  0.2500  4 O 1.86-1.92
Ga  0.8515  0.1485  0.7500  4 O 1.86-1.92
O  0.1972  0.2277  0.2500  1 Be 1.73, 1 Ga 1.92
O  0.2277  0.1972  0.7500  1 Be 1.73, 1 Ga 1.92
O  0.2442  0.7558  0.5200  1 Be 1.64
O  0.2442  0.7558  0.9800  1 Be 1.64
O  0.7558  0.2442  0.0200  1 Be 1.64
O  0.7558  0.2442  0.4800  1 Be 1.64
O  0.7723  0.8028  0.2500  1 Be 1.73, 1 Ga 1.92
O  0.8028  0.7723  0.7500  1 Be 1.73, 1 Ga 1.92

Space-group type   Cmcm (63)
Spin magnetization   0.00 μB per cell
Formation energy (no corrections)   -1.561 eV/atom

5.
A plane-wave DFT calculation with PBE was carried out for crystalline Co5W3 at its relaxed geometry.

a b c (Å): 9.4037 7.6710 6.3997
angles (deg): 83.35 54.12 42.53
With the nearest neighbours (Å) after each atom.
Element x y z (fractional)
Co  0.0501  0.4245  0.5755  2 W 2.39-2.46, 3 Co 2.54-2.65
Co  0.0711  0.5631  0.9289  6 Co 2.35-2.50, 3 W 2.50-2.52
Co  0.0926  0.9074  0.0926  1 Co 2.20, 1 W 2.29
Co  0.2940  0.5468  0.4532  4 W 2.41-2.62, 4 Co 2.43-2.68
Co  0.4245  0.0501  0.9499  2 W 2.39-2.46, 3 Co 2.54-2.65
Co  0.5468  0.2940  0.7060  4 W 2.41-2.62, 4 Co 2.43-2.68
Co  0.5631  0.0711  0.4369  6 Co 2.35-2.50, 3 W 2.50-2.52
Co  0.5881  0.8001  0.1999  6 W 2.45-2.73, 6 Co 2.50-2.65
Co  0.8001  0.5881  0.4119  6 W 2.45-2.73, 6 Co 2.50-2.65
Co  0.9074  0.0926  0.9074  1 Co 2.20, 1 W 2.29
W  0.0380  0.6811  0.3189  6 Co 2.29-2.56
W  0.0777  0.0777  0.4223  2 W 2.38, 2 Co 2.49
W  0.1658  0.1658  0.8342  10 Co 2.46-2.73
W  0.5497  0.5497  0.4503  4 Co 2.41-2.45
W  0.5777  0.5777  0.9223  2 W 2.38, 2 Co 2.49
W  0.6811  0.0380  0.9620  6 Co 2.29-2.56

N(E_F)   16.8 states/eV per cell
Formation enthalpy at 0 K   0.232 eV per atom
Energy above the lowest structure with this stoichiometry   183 meV per atom
Space-group type   Fmm2 (42)
Spin magnetization   1.49 μB per cell

6.
A plane-wave DFT calculation with PBE was carried out for crystalline TbPmPu2Se5 at its relaxed geometry.

a b c (Å): 5.1636 5.1636 10.9534
angles (deg): 90.00 90.00 90.00
With the nearest neighbours (Å) after each atom.
Element x y z (fractional)
Tb  0.0000  0.0000  0.0000  6 Se 2.58-2.77
Pm  0.0000  0.0000  0.5000  2 Se 2.71
Pu  0.5000  0.5000  0.1865  5 Se 3.29-3.43
Pu  0.5000  0.5000  0.8135  5 Se 3.29-3.43
Se  0.0000  0.0000  0.2529  1 Pm 2.71, 1 Tb 2.77
Se  0.0000  0.0000  0.7471  1 Pm 2.71, 1 Tb 2.77
Se  0.0000  0.5000  0.0000  2 Tb 2.58
Se  0.5000  0.0000  0.0000  2 Tb 2.58
Se  0.5000  0.5000  0.5000  2 Pu 3.43, 4 Pm 3.65

N(E_F)   32.7 states/eV per cell
Space-group type   P4/mmm (123)
Spin magnetization   11.86 μB per cell
Formation energy (no corrections)   -1.145 eV/atom

7.
A plane-wave DFT calculation with PBE was carried out for crystalline BaSi5 at its relaxed geometry.

a b c (Å): 3.6566 3.6566 8.9949
angles (deg): 90.00 90.00 90.00
With the nearest neighbours (Å) after each atom.
Element x y z (fractional)
Ba  0.0000  0.0000  0.0000  10 Si 3.25-3.41
Si  0.0000  0.0000  0.3613  5 Si 2.49-2.78
Si  0.0000  0.0000  0.6387  5 Si 2.49-2.78
Si  0.5000  0.5000  0.2466  1 Si 2.28
Si  0.5000  0.5000  0.5000  2 Si 2.28
Si  0.5000  0.5000  0.7534  1 Si 2.28

N(E_F)   2.5 states/eV per cell
Space-group type   P4/mmm (123)
Spin magnetization   0.00 μB per cell
Formation energy (no corrections)   0.261 eV/atom

8.
A plane-wave DFT calculation with PBE was carried out for crystalline TbPmNdDy2 at its relaxed geometry.

a b c (Å): 7.1691 7.1691 7.1700
angles (deg): 90.00 90.00 107.87
With the nearest neighbours (Å) after each atom.
Element x y z (fractional)
Tb  0.2245  0.7755  0.7500  1 Pm 3.21, 4 Dy 3.53, 2 Nd 3.59
Tb  0.7755  0.2245  0.2500  1 Pm 3.21, 4 Dy 3.53, 2 Nd 3.59
Pm  0.4981  0.5019  0.2500  1 Nd 3.12, 4 Dy 3.19, 1 Tb 3.21
Pm  0.5019  0.4981  0.7500  1 Nd 3.12, 4 Dy 3.19, 1 Tb 3.21
Nd  0.2288  0.7712  0.2500  1 Pm 3.12
Nd  0.7712  0.2288  0.7500  1 Pm 3.12
Dy  0.1873  0.1873  0.0000  1 Dy 3.16, 2 Pm 3.19, 2 Tb 3.53
Dy  0.1873  0.1873  0.5000  1 Dy 3.16, 2 Pm 3.19, 2 Tb 3.53
Dy  0.8127  0.8127  0.0000  1 Dy 3.16, 2 Pm 3.19, 2 Tb 3.53
Dy  0.8127  0.8127  0.5000  1 Dy 3.16, 2 Pm 3.19, 2 Tb 3.53

N(E_F)   16.7 states/eV per cell
Formation enthalpy at 0 K   0.380 eV per atom
Space-group type   Cmcm (63)
Spin magnetization   0.00 μB per cell